Record 1
Entry from Alexandria via LeMat-Bulk: a geometry-optimized BaBr structure (PBE).

```
BaBr
1.0
4.356 0.000 0.000
-2.178 3.773 0.000
0.000 0.000 4.782
Ba Br
1 1
Direct
0.000 0.000 0.000
0.667 0.333 0.500
```

- Uncorrected energy: -6.64 eV per cell
- N(E_F): 0.478 states/eV/atom
- V: 39.290 A^3/atom


Record 2
Entry from Alexandria via LeMat-Bulk: a geometry-optimized AcSm2Te structure (PBE).

```
AcSm2Te
1.0
3.980 0.000 0.000
-1.990 3.446 0.000
0.000 0.000 33.838
Ac Sm Te
3 6 3
Direct
0.000 0.000 0.000
0.333 0.667 0.667
0.667 0.333 0.333
0.000 0.000 0.107
0.000 0.000 0.893
0.333 0.667 0.560
0.333 0.667 0.774
0.667 0.333 0.226
0.667 0.333 0.440
0.000 0.000 0.500
0.333 0.667 0.167
0.667 0.333 0.833
```

- Uncorrected energy: -54.27 eV per cell
- N(E_F): 1.640 states/eV/atom
- V: 38.676 A^3/atom
- Distance to the lowest polymorph of the same formula: 257 meV per atom


Record 3
Entry from Alexandria via LeMat-Bulk: a geometry-optimized NbFeGeSb2 structure (PBE).

```
NbFeGeSb2
1.0
5.237 0.000 0.000
0.000 5.237 0.000
0.000 0.000 4.842
Nb Fe Ge Sb
1 1 1 2
Direct
0.000 0.000 0.000
0.500 0.500 0.000
0.000 0.000 0.500
0.000 0.500 0.500
0.500 0.000 0.500
```

- Uncorrected energy: -24.78 eV per cell
- N(E_F): 1.573 states/eV/atom
- V: 26.557 A^3/atom


Record 4
Entry from Alexandria via LeMat-Bulk: a geometry-optimized PaSnHgN structure (PBE).

```
PaSnHgN
1.0
4.122 0.000 0.000
0.000 4.122 0.000
0.000 0.000 9.986
Pa Sn Hg N
2 2 2 2
Direct
0.250 0.250 0.110
0.750 0.750 0.890
0.250 0.250 0.723
0.750 0.750 0.277
0.250 0.750 0.500
0.750 0.250 0.500
0.250 0.750 0.000
0.750 0.250 0.000
```

- Uncorrected energy: -49.86 eV per cell
- N(E_F): 0.760 states/eV/atom
- V: 21.212 A^3/atom


Record 5
Entry from Alexandria via LeMat-Bulk: a geometry-optimized Tl2AgRu structure (PBE).

```
Tl2AgRu
1.0
4.644 0.000 0.000
0.000 4.656 0.000
0.000 0.000 7.479
Tl Ag Ru
4 2 2
Direct
0.000 0.000 0.226
0.000 0.000 0.774
0.500 0.500 0.226
0.500 0.500 0.774
0.000 0.500 0.500
0.500 0.000 0.500
0.000 0.500 0.000
0.500 0.000 0.000
```

- Calculated formation energy: 0.4425 eV/atom
- Uncorrected energy: -30.18 eV per cell
- N(E_F): 0.551 states/eV/atom
- V: 20.214 A^3/atom
- Distance to the lowest polymorph of the same formula: 60 meV per atom


Record 6
Entry from Alexandria via LeMat-Bulk: a geometry-optimized HoHfTe4 structure (PBE).

```
HoHfTe4
1.0
6.844 0.000 0.000
0.000 4.071 0.000
-0.067 0.000 7.202
Ho Hf Te
1 1 4
Direct
0.000 0.000 0.000
0.000 0.500 0.500
0.256 0.000 0.348
0.264 0.500 0.816
0.736 0.500 0.184
0.744 0.000 0.652
```

- Uncorrected energy: -32.63 eV per cell
- N(E_F): 0.519 states/eV/atom
- V: 33.446 A^3/atom
- Distance to the lowest polymorph of the same formula: 0 meV per atom


Record 7
Entry from Alexandria via LeMat-Bulk: a geometry-optimized KBe2VB structure (PBE).

```
KBe2VB
1.0
3.816 0.000 0.000
0.000 3.816 0.000
0.000 0.000 5.155
K Be V B
1 2 1 1
Direct
0.000 0.000 0.000
0.000 0.500 0.500
0.500 0.000 0.500
0.500 0.500 0.000
0.000 0.000 0.500
```

- Calculated formation energy: 1.5049 eV/atom
- Uncorrected energy: -16.82 eV per cell
- N(E_F): 1.451 states/eV/atom
- V: 15.015 A^3/atom


Record 8
Entry from Alexandria via LeMat-Bulk: a geometry-optimized PrInHg4 structure (PBE).

```
PrInHg4
1.0
4.795 0.000 0.000
0.000 13.099 0.000
0.000 0.000 4.878
Pr In Hg
2 2 8
Direct
0.000 0.000 0.000
0.500 0.500 0.000
0.000 0.500 0.500
0.500 0.000 0.500
0.000 0.167 0.500
0.000 0.326 0.000
0.000 0.674 0.000
0.000 0.833 0.500
0.500 0.174 0.000
0.500 0.333 0.500
0.500 0.667 0.500
0.500 0.826 0.000
```

- Calculated formation energy: -0.2741 eV/atom
- Uncorrected energy: -20.74 eV per cell
- N(E_F): 0.399 states/eV/atom
- V: 25.532 A^3/atom
- Distance to the lowest polymorph of the same formula: 0 meV per atom


Record 9
Entry from Alexandria via LeMat-Bulk: a geometry-optimized Nd6Ni2N structure (PBE).

```
Nd6Ni2N
1.0
6.537 0.000 0.000
0.000 7.095 0.000
-6.386 0.000 9.950
Nd Ni N
12 4 2
Direct
0.107 0.041 0.238
0.107 0.459 0.738
0.237 0.688 0.065
0.237 0.812 0.565
0.377 0.173 0.063
0.377 0.327 0.563
0.623 0.673 0.437
0.623 0.827 0.937
0.763 0.188 0.435
0.763 0.312 0.935
0.893 0.541 0.262
0.893 0.959 0.762
0.307 0.100 0.756
0.307 0.400 0.256
0.693 0.600 0.744
0.693 0.900 0.244
0.000 0.000 0.000
0.000 0.500 0.500
```

- Uncorrected energy: -104.87 eV per cell
- N(E_F): 0.925 states/eV/atom
- V: 25.638 A^3/atom


Record 10
Entry from Alexandria via LeMat-Bulk: a geometry-optimized Cs2AlBi structure (PBE).

```
Cs2AlBi
1.0
9.038 0.000 0.000
0.000 9.038 0.000
0.000 0.000 9.038
Cs Al Bi
8 4 4
Direct
0.250 0.250 0.250
0.250 0.250 0.750
0.250 0.750 0.250
0.250 0.750 0.750
0.750 0.250 0.250
0.750 0.250 0.750
0.750 0.750 0.250
0.750 0.750 0.750
0.000 0.000 0.000
0.000 0.500 0.500
0.500 0.000 0.500
0.500 0.500 0.000
0.000 0.000 0.500
0.000 0.500 0.000
0.500 0.000 0.000
0.500 0.500 0.500
```

- Calculated formation energy: 0.2294 eV/atom
- Uncorrected energy: -33.65 eV per cell
- N(E_F): 0.000 states/eV/atom
- V: 46.144 A^3/atom
- Distance to the lowest polymorph of the same formula: 245 meV per atom


Record 11
Entry from Alexandria via LeMat-Bulk: a geometry-optimized InSb2Os structure (PBE).

```
InSb2Os
1.0
5.394 0.000 0.000
0.000 11.203 0.000
0.000 0.000 3.296
In Sb Os
2 4 2
Direct
0.000 0.000 0.000
0.500 0.500 0.000
0.000 0.312 0.500
0.000 0.688 0.500
0.500 0.188 0.500
0.500 0.812 0.500
0.000 0.500 0.000
0.500 0.000 0.000
```

- Uncorrected energy: -42.91 eV per cell
- N(E_F): 0.471 states/eV/atom
- V: 24.897 A^3/atom


Record 12
Entry from Alexandria via LeMat-Bulk: a geometry-optimized As2Pt2Pb structure (PBE).

```
As2Pt2Pb
1.0
4.572 0.000 0.000
0.000 4.572 0.000
0.000 0.000 9.942
As Pt Pb
4 4 2
Direct
0.000 0.000 0.134
0.000 0.000 0.866
0.500 0.500 0.366
0.500 0.500 0.634
0.000 0.500 0.250
0.000 0.500 0.750
0.500 0.000 0.250
0.500 0.000 0.750
0.000 0.000 0.500
0.500 0.500 0.000
```

- Calculated formation energy: -0.1638 eV/atom
- Uncorrected energy: -51.82 eV per cell
- N(E_F): 0.473 states/eV/atom
- V: 20.778 A^3/atom
- Distance to the lowest polymorph of the same formula: 5 meV per atom


Record 13
Entry from Alexandria via LeMat-Bulk: a geometry-optimized AcHoCdGa structure (PBE).

```
AcHoCdGa
1.0
7.688 0.000 0.000
0.000 7.688 0.000
0.000 0.000 7.688
Ac Ho Cd Ga
4 4 4 4
Direct
0.000 0.000 0.000
0.000 0.500 0.500
0.500 0.000 0.500
0.500 0.500 0.000
0.000 0.000 0.500
0.000 0.500 0.000
0.500 0.000 0.000
0.500 0.500 0.500
0.250 0.250 0.750
0.250 0.750 0.250
0.750 0.250 0.250
0.750 0.750 0.750
0.250 0.250 0.250
0.250 0.750 0.750
0.750 0.250 0.750
0.750 0.750 0.250
```

- Calculated formation energy: -0.3515 eV/atom
- Uncorrected energy: -56.14 eV per cell
- N(E_F): 1.070 states/eV/atom
- V: 28.398 A^3/atom


Record 14
Entry from Alexandria via LeMat-Bulk: a geometry-optimized La2Pm6NdHo structure (PBE).

```
La2Pm6NdHo
1.0
4.604 -7.640 0.000
4.604 7.640 0.000
-1.723 0.000 9.930
La Pm Nd Ho
4 12 2 2
Direct
0.194 0.291 0.041
0.291 0.194 0.541
0.709 0.806 0.459
0.806 0.709 0.959
0.018 0.577 0.189
0.120 0.739 0.556
0.261 0.880 0.944
0.298 0.506 0.380
0.423 0.982 0.311
0.494 0.702 0.120
0.506 0.298 0.880
0.577 0.018 0.689
0.702 0.494 0.620
0.739 0.120 0.056
0.880 0.261 0.444
0.982 0.423 0.811
0.013 0.987 0.250
0.987 0.013 0.750
0.406 0.594 0.750
0.594 0.406 0.250
```

- Calculated formation energy: 0.1110 eV/atom
- Uncorrected energy: -93.19 eV per cell
- N(E_F): 1.506 states/eV/atom
- V: 34.925 A^3/atom


Record 15
Entry from Alexandria via LeMat-Bulk: a geometry-optimized NaAcSn structure (PBE).

```
NaAcSn
1.0
7.741 0.000 0.000
0.000 7.741 0.000
0.000 0.000 7.741
Na Ac Sn
4 4 4
Direct
0.000 0.000 0.000
0.000 0.500 0.500
0.500 0.000 0.500
0.500 0.500 0.000
0.000 0.000 0.500
0.000 0.500 0.000
0.500 0.000 0.000
0.500 0.500 0.500
0.250 0.250 0.750
0.250 0.750 0.250
0.750 0.250 0.250
0.750 0.750 0.750
```

- Calculated formation energy: -0.3803 eV/atom
- Uncorrected energy: -42.29 eV per cell
- N(E_F): 0.008 states/eV/atom
- V: 38.659 A^3/atom
- Distance to the lowest polymorph of the same formula: 106 meV per atom


Record 16
Entry from Alexandria via LeMat-Bulk: a geometry-optimized TaHIrPd2 structure (PBE).

```
TaHIrPd2
1.0
3.894 0.000 0.000
0.000 3.894 0.000
0.000 0.000 4.267
Ta H Ir Pd
1 1 1 2
Direct
0.000 0.000 0.000
0.000 0.000 0.500
0.500 0.500 0.000
0.000 0.500 0.500
0.500 0.000 0.500
```

- Uncorrected energy: -35.49 eV per cell
- N(E_F): 0.641 states/eV/atom
- V: 12.941 A^3/atom


Record 17
Entry from Alexandria via LeMat-Bulk: a geometry-optimized Ba2TlPdAu6 structure (PBE).

```
Ba2TlPdAu6
1.0
0.000 5.280 5.280
5.280 0.000 5.280
5.280 5.280 0.000
Ba Tl Pd Au
2 1 1 6
Direct
0.250 0.250 0.250
0.750 0.750 0.750
0.000 0.000 0.000
0.500 0.500 0.500
0.256 0.256 0.744
0.256 0.744 0.256
0.256 0.744 0.744
0.744 0.256 0.256
0.744 0.256 0.744
0.744 0.744 0.256
```

- Calculated formation energy: -0.2698 eV/atom
- Uncorrected energy: -33.77 eV per cell
- N(E_F): 0.180 states/eV/atom
- V: 29.439 A^3/atom


Record 18
Entry from Alexandria via LeMat-Bulk: a geometry-optimized PmPaTc2 structure (PBE).

```
PmPaTc2
1.0
6.932 0.000 0.000
0.000 6.932 0.000
0.000 0.000 6.932
Pm Pa Tc
4 4 8
Direct
0.000 0.000 0.000
0.000 0.500 0.500
0.500 0.000 0.500
0.500 0.500 0.000
0.000 0.000 0.500
0.000 0.500 0.000
0.500 0.000 0.000
0.500 0.500 0.500
0.250 0.250 0.250
0.250 0.250 0.750
0.250 0.750 0.250
0.250 0.750 0.750
0.750 0.250 0.250
0.750 0.250 0.750
0.750 0.750 0.250
0.750 0.750 0.750
```

- Calculated formation energy: 0.0127 eV/atom
- Uncorrected energy: -139.71 eV per cell
- N(E_F): 0.568 states/eV/atom
- V: 20.821 A^3/atom
- Distance to the lowest polymorph of the same formula: 125 meV per atom


Record 19
Entry from Alexandria via LeMat-Bulk: a geometry-optimized PaFe3C structure (PBE).

```
PaFe3C
1.0
3.921 0.000 0.000
0.000 3.921 0.000
0.000 0.000 3.921
Pa Fe C
1 3 1
Direct
0.000 0.000 0.000
0.000 0.500 0.500
0.500 0.000 0.500
0.500 0.500 0.000
0.500 0.500 0.500
```

- Calculated formation energy: -0.1922 eV/atom
- Uncorrected energy: -45.07 eV per cell
- N(E_F): 0.447 states/eV/atom
- V: 12.060 A^3/atom


Record 20
Entry from Alexandria via LeMat-Bulk: a geometry-optimized As2PW structure (PBE).

```
As2PW
1.0
9.119 0.000 0.000
0.000 3.196 0.000
-0.436 0.000 4.549
As P W
4 2 2
Direct
0.217 0.000 0.230
0.283 0.500 0.770
0.717 0.500 0.230
0.783 0.000 0.770
0.000 0.000 0.500
0.500 0.500 0.500
0.000 0.500 0.000
0.500 0.000 0.000
```

- Calculated formation energy: 0.3764 eV/atom
- Uncorrected energy: -52.31 eV per cell
- N(E_F): 0.448 states/eV/atom
- V: 16.573 A^3/atom